(1)
# ScCd2PbF (GGA-PBE, optimized geometry)
# ΔE_f (raw)   0.230 eV/atom
# Crystal system   tetragonal
# Calculated density   4.3 g/cm3
# Volume   190.1 Å³ per cell
# E   -2.5178 eV per atom
data_ScCd2PbF
_space_group_name_H-M_alt 'P 4/m m m'
_space_group_IT_number 123
_space_group_name_Hall '-P 4 2'
_cell_length_a 5.778
_cell_length_b 5.778
_cell_length_c 5.695
_cell_angle_alpha 90.00
_cell_angle_beta 90.00
_cell_angle_gamma 90.00
loop_
_atom_site_label
_atom_site_type_symbol
_atom_site_fract_x
_atom_site_fract_y
_atom_site_fract_z
Sc1 Sc 0.000 0.000 0.000
Cd1 Cd 0.000 0.500 0.000
Pb1 Pb 0.000 0.000 0.500
F1 F 0.500 0.500 0.500



(2)
# CdSnPbF6 (GGA-PBE, optimized geometry)
# ΔE_f (raw)   -2.259 eV/atom
# Crystal system   trigonal
# Calculated density   6.3 g/cm3
# Volume   144.5 Å³ per cell
# E   -4.4650 eV per atom
data_CdSnPbF6
_space_group_name_H-M_alt 'P 3'
_space_group_IT_number 143
_cell_length_a 6.2513
_cell_length_b 6.2513
_cell_length_c 4.2708
_cell_angle_alpha 90.00
_cell_angle_beta 90.00
_cell_angle_gamma 120.00
loop_
_space_group_symop_operation_xyz
'x,y,z'
'-y,x-y,z'
'-x+y,-x,z'
loop_
_atom_site_label
_atom_site_type_symbol
_atom_site_fract_x
_atom_site_fract_y
_atom_site_fract_z
Cd1 Cd 0.0000 0.0000 0.0000
Sn1 Sn 0.3333 0.6667 0.3862
Pb1 Pb 0.6667 0.3333 0.8105
F1 F 0.0899 0.7297 0.7252
F2 F 0.3642 0.0872 0.2136



(3)
# Sr2CdPbF8 (GGA-PBE, optimized geometry)
# ΔE_f (raw)   -3.116 eV/atom
# Crystal system   orthorhombic
# Calculated density   5.5 g/cm3
# Volume   195.1 Å³ per cell
# E   -5.0293 eV per atom
data_Sr2CdPbF8
_space_group_name_H-M_alt 'P m m m'
_space_group_IT_number 47
_cell_length_a 4.122
_cell_length_b 5.788
_cell_length_c 8.178
_cell_angle_alpha 90.00
_cell_angle_beta 90.00
_cell_angle_gamma 90.00
loop_
_space_group_symop_operation_xyz
'x,y,z'
'-x,-y,-z'
'-x,-y,z'
'x,y,-z'
'x,-y,-z'
'-x,y,z'
'-x,y,-z'
'x,-y,z'
loop_
_atom_site_label
_atom_site_type_symbol
_atom_site_fract_x
_atom_site_fract_y
_atom_site_fract_z
Sr1 Sr 0.000 0.000 0.241
Cd1 Cd 0.500 0.500 0.000
Pb1 Pb 0.500 0.500 0.500
F1 F 0.000 0.241 0.500
F2 F 0.000 0.265 0.000
F3 F 0.500 0.254 0.235



(4)
# SrCdPb2F8 (GGA-PBE, optimized geometry)
# ΔE_f (raw)   -2.731 eV/atom
# Crystal system   monoclinic
# Calculated density   6.4 g/cm3
# Volume   198.4 Å³ per cell
# E   -4.8131 eV per atom
data_SrCdPb2F8
_space_group_name_H-M_alt 'P 1 2/m 1'
_space_group_IT_number 10
_cell_length_a 4.128
_cell_length_b 8.197
_cell_length_c 5.863
_cell_angle_alpha 90.00
_cell_angle_beta 90.08
_cell_angle_gamma 90.00
loop_
_space_group_symop_operation_xyz
'x,y,z'
'-x,-y,-z'
'-x,y,-z'
'x,-y,z'
loop_
_atom_site_label
_atom_site_type_symbol
_atom_site_fract_x
_atom_site_fract_y
_atom_site_fract_z
Sr1 Sr 0.000 0.000 0.000
Cd1 Cd 0.000 0.500 0.000
Pb1 Pb 0.500 0.258 0.500
F1 F 0.001 0.263 0.763
F2 F 0.499 0.500 0.230
F3 F 0.500 0.000 0.246



(5)
# SrCd2PbF8 (GGA-PBE, optimized geometry)
# ΔE_f (raw)   -2.675 eV/atom
# Crystal system   tetragonal
# Calculated density   6.0 g/cm3
# Volume   371.1 Å³ per cell
# E   -4.5245 eV per atom
data_SrCd2PbF8
_space_group_name_H-M_alt 'I -4 m 2'
_space_group_IT_number 119
_space_group_name_Hall 'I -4 -2'
_cell_length_a 5.724
_cell_length_b 5.724
_cell_length_c 11.327
_cell_angle_alpha 90.00
_cell_angle_beta 90.00
_cell_angle_gamma 90.00
loop_
_atom_site_label
_atom_site_type_symbol
_atom_site_fract_x
_atom_site_fract_y
_atom_site_fract_z
Sr1 Sr 0.000 0.000 0.000
Cd1 Cd 0.000 0.000 0.500
Cd2 Cd 0.000 0.500 0.250
Pb1 Pb 0.000 0.500 0.750
F1 F 0.233 0.253 0.376



(6)
# SrCdPbF6 (GGA-PBE, optimized geometry)
# ΔE_f (raw)   -2.788 eV/atom
# Crystal system   trigonal
# Calculated density   5.2 g/cm3
# Volume   333.3 Å³ per cell
# E   -4.7362 eV per atom
data_SrCdPbF6
_space_group_name_H-M_alt 'P -3 1 c'
_space_group_IT_number 163
_space_group_name_Hall '-P 3 2c'
_cell_length_a 6.2254
_cell_length_b 6.2254
_cell_length_c 9.9312
_cell_angle_alpha 90.00
_cell_angle_beta 90.00
_cell_angle_gamma 120.00
loop_
_atom_site_label
_atom_site_type_symbol
_atom_site_fract_x
_atom_site_fract_y
_atom_site_fract_z
Sr1 Sr 0.3333 0.6667 0.2500
Cd1 Cd 0.3333 0.6667 0.7500
Pb1 Pb 0.0000 0.0000 0.0000
F1 F 0.0200 0.3501 0.6330